Entry P
NbReSe4 | GGA-PBE | optimized geometry

```
NbReSe4
1.0
5.9901 -0.6463 0.0000
-1.7016 5.8044 0.0000
-2.1443 -2.5790 8.7178
Se Re Nb
8 2 2
direct
0.0399 0.8024 0.0798
0.5399 0.2774 0.0798
0.2975 0.0737 0.6350
0.7025 0.9263 0.3650
0.4601 0.7226 0.9202
0.1625 0.4387 0.3650
0.8375 0.5613 0.6350
0.9601 0.1976 0.9202
0.1738 0.9238 0.8476
0.8262 0.0762 0.1524
0.6670 0.4170 0.8339
0.3330 0.5830 0.1661
```

total magnetic moment = 0.0000 μB/atom

***

Entry Q
NbReSe4 | GGA-PBE | optimized geometry

```
NbReSe4
1.0
-2.9751 1.4964 0.2164
-1.5077 -6.9594 1.7268
1.5268 2.2595 5.3657
Se Re Nb
4 1 1
direct
0.3975 0.7945 0.1316
0.6359 0.2725 0.8907
0.8672 0.7337 0.5938
0.0990 0.1984 0.3831
0.4944 0.9888 0.5550
0.0059 0.0121 0.9458
```

total magnetic moment = 0.0000 μB/atom

***

Which of them is the most stable? Correct choice: entry Q.

***

Entry P
ZrNbRe2Si | GGA-PBE | optimized geometry

```
ZrNbRe2Si
1.0
4.7481 0.0000 0.0000
0.0000 4.7165 0.0000
0.0000 0.0000 4.7481
Re Zr Nb Si
2 1 1 1
direct
0.0000 0.0000 0.5000
0.5000 0.0000 0.0000
0.0000 0.0000 0.0000
0.5000 0.5000 0.5000
0.0000 0.5000 0.0000
```

total magnetic moment = 0.0004 μB/atom

***

Entry Q
ZrNbRe2Si | GGA-PBE | optimized geometry

```
ZrNbRe2Si
1.0
-4.0137 1.8392 -0.4773
-1.8323 -3.2223 2.9914
0.8321 2.7043 3.4227
Re Zr Si Nb
2 1 1 1
direct
0.5000 0.0000 0.0000
0.0000 0.0000 0.5000
0.0000 0.5000 0.0000
0.0000 0.0000 0.0000
0.5000 0.5000 0.5000
```

total magnetic moment = 0.0000 μB/atom

***

Which of them is the most stable? Correct choice: entry Q.

***

Entry P
NbRe3Sn | GGA-PBE | optimized geometry

```
NbRe3Sn
1.0
4.7483 0.0000 0.0000
0.0000 4.7483 0.0000
0.0000 0.0000 4.7483
Re Sn Nb
3 1 1
direct
0.0000 0.5000 0.0000
0.5000 0.0000 0.0000
0.0000 0.0000 0.5000
0.0000 0.0000 0.0000
0.5000 0.5000 0.5000
```

total magnetic moment = 0.0000 μB/atom

***

Entry Q
NbRe3Sn | GGA-PBE | optimized geometry

```
NbRe3Sn
1.0
4.8176 0.0000 0.0000
0.0000 4.8176 0.0000
0.0000 0.0000 4.8176
Re Sn Nb
3 1 1
direct
0.0000 0.5000 0.0000
0.5000 0.0000 0.0000
0.0000 0.0000 0.5000
0.5000 0.5000 0.5000
0.0000 0.0000 0.0000
```

total magnetic moment = 0.5752 μB/atom

***

Which of them is the most stable? Correct choice: entry Q.

***

Entry P
Sr3NbRe | GGA-PBE | optimized geometry

```
Sr3NbRe
1.0
-2.6431 3.8757 -3.3194
-4.5026 -0.0122 3.5711
2.4013 4.2431 3.0422
Sr Re Nb
3 1 1
direct
0.0000 0.5000 0.0000
0.0000 0.0000 0.5000
0.5000 0.0000 0.0000
0.0000 0.0000 0.0000
0.5000 0.5000 0.5000
```

total magnetic moment = 1.0979 μB/atom

***

Entry Q
Sr3NbRe | GGA-PBE | optimized geometry

```
Sr3NbRe
1.0
-4.5673 -2.3307 -2.6214
3.3613 -4.1386 -2.1768
-1.0029 -3.2565 4.6426
Nb Sr Re
1 3 1
direct
0.0000 0.0000 0.0000
0.0000 0.5000 0.0000
0.0000 0.0000 0.5000
0.5000 0.0000 0.0000
0.5000 0.5000 0.5000
```

total magnetic moment = 1.0563 μB/atom

***

Which of them is the most stable? Correct choice: entry P.

***

Entry P
Sr2NbRe | GGA-PBE | optimized geometry

```
Sr2NbRe
1.0
-0.3361 -11.4227 -2.8071
9.1203 -2.0265 7.1543
2.9026 -7.1199 3.9605
Nb Sr Re
2 4 2
direct
0.5000 0.5000 0.0000
0.2500 0.7500 0.5000
0.9586 0.6250 0.2500
0.3750 0.2086 0.7500
0.7914 0.1250 0.2500
0.8750 0.0414 0.7500
0.7500 0.2500 0.5000
0.0000 0.0000 0.0000
```

total magnetic moment = 0.0819 μB/atom

***

Entry Q
Sr2NbRe | GGA-PBE | optimized geometry

```
Sr2NbRe
1.0
0.0000 3.7094 3.7094
3.7094 0.0000 3.7094
3.7094 3.7094 0.0000
Re Sr Nb
1 2 1
direct
0.5000 0.5000 0.5000
0.2500 0.2500 0.2500
0.7500 0.7500 0.7500
0.0000 0.0000 0.0000
```

total magnetic moment = 0.0003 μB/atom

***

Which of them is the most stable? Correct choice: entry P.

***

Entry P
Ta3Nb4Re | GGA-PBE | optimized geometry

```
Ta3Nb4Re
1.0
-3.3692 -2.3135 -3.6403
4.1670 -3.1858 -1.8320
-2.2881 -6.6359 6.3349
Nb Ta Re
8 6 2
direct
0.5716 0.8092 0.2483
0.3073 0.9435 0.0000
0.5716 0.8092 0.7517
0.8073 0.0565 0.5000
0.0716 0.1908 0.2517
0.0716 0.1908 0.7483
0.8051 0.5541 0.5000
0.3051 0.4459 0.0000
0.8079 0.0554 0.0000
0.5715 0.3109 0.2506
0.5715 0.3109 0.7494
0.0715 0.6891 0.7506
0.0715 0.6891 0.2494
0.3079 0.9446 0.5000
0.3089 0.4495 0.5000
0.8089 0.5505 0.0000
```

total magnetic moment = 0.0000 μB/atom

***

Entry Q
Ta3Nb4Re | GGA-PBE | optimized geometry

```
Ta3Nb4Re
1.0
3.2673 0.0000 0.0000
0.0000 3.2673 0.0000
0.0000 0.0000 13.2900
Re Nb Ta
1 4 3
direct
0.5000 0.5000 0.0000
0.0000 0.0000 0.3723
0.0000 0.0000 0.8816
0.0000 0.0000 0.1184
0.0000 0.0000 0.6277
0.5000 0.5000 0.2475
0.5000 0.5000 0.5000
0.5000 0.5000 0.7525
```

total magnetic moment = 0.0000 μB/atom

***

Which of them is the most stable? Correct choice: entry Q.

***

Entry P
Ta3NbRe | GGA-PBE | optimized geometry

```
Ta3NbRe
1.0
4.3539 0.0000 -1.4466
-0.1253 5.6360 -0.3770
-0.0485 -0.5046 7.1294
Ta Re Nb
6 2 2
direct
0.1993 0.6430 0.3986
0.0039 0.2539 0.0078
0.9961 0.7461 0.9922
0.6013 0.9526 0.2027
0.3987 0.0474 0.7973
0.8007 0.3570 0.6014
0.5981 0.4527 0.1962
0.4019 0.5473 0.8038
0.1992 0.1476 0.3984
0.8008 0.8524 0.6016
```

total magnetic moment = 0.0000 μB/atom

***

Entry Q
Ta3NbRe | GGA-PBE | optimized geometry

```
Ta3NbRe
1.0
-3.9071 -3.7216 -2.0419
1.6610 -5.2160 -1.8221
-1.6399 -5.4002 4.8299
Ta Re Nb
6 2 2
direct
0.3889 0.9000 0.3220
0.3890 0.3889 0.3220
0.6111 0.6110 0.6780
0.1000 0.6111 0.6780
0.6110 0.1000 0.6780
0.9000 0.3890 0.3220
0.3348 0.3348 0.9955
0.6652 0.6652 0.0045
0.9139 0.9139 0.2583
0.0861 0.0861 0.7417
```

total magnetic moment = 0.0000 μB/atom

***

Which of them is the most stable? Correct choice: entry P.

***

Entry P
TaNb4Re | GGA-PBE | optimized geometry

```
TaNb4Re
1.0
-4.2418 1.8598 -1.9074
-3.8349 -3.1867 0.4783
-2.0522 3.6969 8.1699
Ta Nb Re
2 8 2
direct
0.5000 0.0000 0.5000
0.0000 0.5000 0.0000
0.3292 0.8367 0.0009
0.6713 0.6721 0.2499
0.3279 0.3287 0.2501
0.6721 0.6713 0.7499
0.8367 0.3292 0.5009
0.6708 0.1633 0.9991
0.1633 0.6708 0.4991
0.3287 0.3279 0.7501
0.9985 0.0015 0.2500
0.0015 0.9985 0.7500
```

total magnetic moment = 0.0000 μB/atom

***

Entry Q
TaNb4Re | GGA-PBE | optimized geometry

```
TaNb4Re
1.0
-2.0053 3.6906 1.8566
-4.5958 -3.6962 2.3836
4.0021 -0.9590 6.2291
Nb Re Ta
8 2 2
direct
0.5000 0.4867 0.3201
0.0000 0.0000 0.0000
0.0000 0.5000 0.0000
0.5000 0.0133 0.3201
0.5000 0.9867 0.6799
0.5000 0.7500 0.0139
0.5000 0.5133 0.6799
0.5000 0.2500 0.9862
0.0000 0.7500 0.7166
0.0000 0.2500 0.2834
0.0000 0.7500 0.3622
0.0000 0.2500 0.6378
```

total magnetic moment = 0.0000 μB/atom

***

Which of them is the most stable? Correct choice: entry P.

***

Entry P
TaNb6Re2 | GGA-PBE | optimized geometry

```
TaNb6Re2
1.0
-0.3355 -7.5485 0.0649
5.2086 2.3015 4.9668
-6.6743 2.9628 1.9421
Nb Ta Re
12 2 4
direct
0.1977 0.2465 0.4442
0.4825 0.2872 0.1953
0.7379 0.4218 0.6839
0.2621 0.5782 0.3161
0.5175 0.7128 0.8047
0.9080 0.7128 0.1953
0.0920 0.2872 0.8047
0.7379 0.0540 0.3161
0.8023 0.2465 0.0488
0.8023 0.7535 0.5558
0.1977 0.7535 0.9512
0.2621 0.9460 0.6839
0.0000 0.0000 0.0000
0.0000 0.5000 0.5000
0.6467 0.0000 0.6467
0.5000 0.3497 0.8497
0.5000 0.6503 0.1503
0.3533 0.0000 0.3533
```

total magnetic moment = 0.0001 μB/atom

***

Entry Q
TaNb6Re2 | GGA-PBE | optimized geometry

```
TaNb6Re2
1.0
-2.3110 -0.1929 -2.2481
-2.5292 -4.7879 0.6906
-7.6584 2.1706 5.3663
Nb Re Ta
6 2 1
direct
0.3274 0.4578 0.8874
0.6702 0.2195 0.4402
0.0017 0.3255 0.6711
0.6726 0.5422 0.1126
0.3298 0.7805 0.5598
0.9983 0.6745 0.3289
0.6634 0.8935 0.7797
0.3366 0.1065 0.2203
0.0000 0.0000 0.0000
```

total magnetic moment = 0.0000 μB/atom

***

Which of them is the most stable? Correct choice: entry Q.

***

Entry P
Ta6Nb2Re | GGA-PBE | optimized geometry

```
Ta6Nb2Re
1.0
-0.0913 -0.6479 -2.7440
6.7933 1.4961 -2.3115
0.8065 -7.7337 2.7396
Re Ta Nb
1 6 2
direct
0.0000 0.0000 0.0000
0.8199 0.9971 0.3240
0.1591 0.3267 0.2170
0.4138 0.3303 0.8960
0.8409 0.6733 0.7830
0.5862 0.6697 0.1040
0.1801 0.0029 0.6760
0.4591 0.3319 0.5613
0.5409 0.6681 0.4387
```

total magnetic moment = 0.0000 μB/atom

***

Entry Q
Ta6Nb2Re | GGA-PBE | optimized geometry

```
Ta6Nb2Re
1.0
-0.6969 4.2770 -0.9665
-5.0409 0.0527 3.8680
6.8071 -0.3889 3.6575
Ta Nb Re
6 2 1
direct
0.8353 0.5901 0.6705
0.5000 0.2413 0.0000
0.1647 0.9195 0.3295
0.5000 0.7587 0.0000
0.1647 0.4099 0.3295
0.8353 0.0805 0.6705
0.6652 0.6652 0.3304
0.3348 0.3348 0.6696
0.0000 0.0000 0.0000
```

total magnetic moment = 0.0000 μB/atom

***

Which of them is the most stable? Correct choice: entry P.

***

Entry P
Ta2Nb6Re | GGA-PBE | optimized geometry

```
Ta2Nb6Re
1.0
4.4611 0.0000 -0.1728
0.0000 6.3263 0.0000
-1.9697 -3.1632 6.7702
Ta Re Nb
2 1 6
direct
0.6653 0.6657 0.3313
0.3347 0.3343 0.6687
0.0000 0.0000 0.0000
0.1637 0.4098 0.3278
0.8363 0.0821 0.6722
0.1637 0.9179 0.3278
0.8363 0.5902 0.6722
0.5000 0.2439 0.0000
0.5000 0.7561 0.0000
```

total magnetic moment = 0.0001 μB/atom

***

Entry Q
Ta2Nb6Re | GGA-PBE | optimized geometry

```
Ta2Nb6Re
1.0
-0.3665 -2.7196 1.6547
6.9563 -1.6214 1.2707
3.2377 2.9159 6.7069
Nb Ta Re
6 2 1
direct
0.6679 0.6732 0.0000
0.1657 0.8300 0.6716
0.1657 0.5015 0.3284
0.8343 0.1700 0.3284
0.8343 0.4985 0.6716
0.3321 0.3268 0.0000
0.5000 0.8429 0.3142
0.5000 0.1571 0.6858
0.0000 0.0000 0.0000
```

total magnetic moment = 0.0000 μB/atom

***

Which of them is the most stable? Correct choice: entry Q.